1.
A relaxed structure of Zr2NiIr, computed with PBE.

Cell lengths 7.195, 7.195, 5.824 Å; angles 51.85, 51.85, 90.00 degrees
Fractional positions:
1 Ni 0.250 0.750 0.500
2 Zr 0.619 0.125 0.250
3 Zr 0.375 0.381 0.750
4 Ir 0.750 0.250 0.500
5 Ir 0.000 0.000 0.000
6 Zr 0.875 0.869 0.750
7 Zr 0.131 0.625 0.250
8 Ni 0.500 0.500 0.000

Energy of formation (kJ/mol of atoms): -13.61

=====

2.
A relaxed structure of Ag2BiTe4As, computed with PBE.

Cell lengths 4.308, 7.370, 7.488 Å; angles 70.60, 90.00, 90.00 degrees
Fractional positions:
1 Te 0.000 0.750 0.764
2 Te 0.500 0.239 0.767
3 Te 0.500 0.761 0.233
4 Te 0.000 0.250 0.236
5 Ag 0.500 0.000 0.500
6 As 0.500 0.500 0.000
7 Bi 0.000 0.500 0.500
8 Ag 0.000 0.000 0.000

Formation energy (no corrections) (eV per atom): -0.059

=====

3.
A relaxed structure of BaLiAs4, computed with PBE.

Cell lengths 5.863, 5.863, 5.863 Å; angles 60.00, 60.00, 60.00 degrees
Fractional positions:
1 Li 0.000 0.000 0.000
2 As 0.371 0.371 0.371
3 Ba 0.750 0.750 0.750
4 As 0.888 0.371 0.371
5 As 0.371 0.371 0.888
6 As 0.371 0.888 0.371

Energy of formation (kJ/mol of atoms): -30.78

=====

Number 1: total magnetic moment 0.000 μB/atom, Fermi-level density of states 10.4 states/eV per cell. Number 2: total magnetic moment 0.000 μB/atom, Fermi-level density of states 2.4 states/eV per cell. Number 3: total magnetic moment 0.000 μB/atom, Fermi-level density of states 5.2 states/eV per cell.